Density functional theory data (GGA-PBE) for Ba3In3Rh2 after structural relaxation.

Density of states at the Fermi level = 5.3 states/eV/f.u.
Total magnetic moment = 0.000 μB/atom
Energy relative to the lowest polymorph listed for this composition = 20.3 meV/atom
Calculated formation energy = -0.3860 eV per atom

The structure in CIF format:
```
data_Ba3In3Rh2
_chemical_formula_sum 'Ba12 In12 Rh8'
_symmetry_space_group_name_H-M 'P 1'
_symmetry_Int_Tables_number 1
_symmetry_space_group_name_Hall 'P 1'
_cell_length_a 6.5781
_cell_length_b 8.8388
_cell_length_c 16.8421
_cell_angle_alpha 90.00
_cell_angle_beta 90.00
_cell_angle_gamma 90.00
loop_
_atom_site_label
_atom_site_fract_x
_atom_site_fract_y
_atom_site_fract_z
In1 0.9283 0.8478 0.7500
Ba1 0.9034 0.7949 0.2500
Ba2 0.0966 0.2051 0.7500
In2 0.0987 0.1583 0.5374
Ba3 0.4076 0.9564 0.3923
Ba4 0.5924 0.0436 0.6077
In3 0.0987 0.1583 0.9626
Ba5 0.4076 0.9564 0.1077
Rh1 0.6273 0.6317 0.0997
Ba6 0.5966 0.2949 0.2500
Ba7 0.0924 0.4564 0.3923
Rh2 0.3727 0.3683 0.9003
In4 0.5717 0.3478 0.7500
In5 0.4013 0.6583 0.5374
Ba8 0.9076 0.5436 0.8923
Rh3 0.6273 0.6317 0.4003
Ba9 0.4034 0.7051 0.7500
In6 0.4283 0.6522 0.2500
In7 0.0717 0.1522 0.2500
Rh4 0.8727 0.1317 0.0997
In8 0.9013 0.8417 0.0374
Rh5 0.1273 0.8683 0.5997
Rh6 0.1273 0.8683 0.9003
Ba10 0.9076 0.5436 0.6077
In9 0.4013 0.6583 0.9626
In10 0.5987 0.3417 0.0374
Rh7 0.3727 0.3683 0.5997
Rh8 0.8727 0.1317 0.4003
In11 0.9013 0.8417 0.4626
In12 0.5987 0.3417 0.4626
Ba11 0.0924 0.4564 0.1077
Ba12 0.5924 0.0436 0.8923
```

Density functional theory data (GGA-PBE) for BaIn2Rh after structural relaxation.

Density of states at the Fermi level = 3.5 states/eV/f.u.
Total magnetic moment = 0.000 μB/atom
Calculated formation energy = -0.1498 eV per atom

The structure in CIF format:
```
data_BaIn2Rh
_chemical_formula_sum 'Ba2 In4 Rh2'
_symmetry_space_group_name_H-M 'P 1'
_symmetry_Int_Tables_number 1
_symmetry_space_group_name_Hall 'P 1'
_cell_length_a 5.8106
_cell_length_b 5.8106
_cell_length_c 9.4350
_cell_angle_alpha 72.07
_cell_angle_beta 72.07
_cell_angle_gamma 90.00
loop_
_atom_site_label
_atom_site_fract_x
_atom_site_fract_y
_atom_site_fract_z
Rh1 0.2500 0.7500 0.5000
In1 0.3574 0.6250 0.2500
Ba1 0.7500 0.2500 0.5000
Ba2 0.0000 0.0000 0.0000
In2 0.8750 0.6426 0.7500
In3 0.3926 0.1250 0.2500
In4 0.3750 0.6074 0.7500
Rh2 0.5000 0.5000 0.0000
```

Density functional theory data (GGA-PBE) for Ba4In2Rh after structural relaxation.

Density of states at the Fermi level = 11.9 states/eV/f.u.
Total magnetic moment = 0.117 μB/atom
Calculated formation energy = -0.1567 eV per atom

The structure in CIF format:
```
data_Ba4In2Rh
_chemical_formula_sum 'Ba4 In2 Rh1'
_symmetry_space_group_name_H-M 'P 1'
_symmetry_Int_Tables_number 1
_symmetry_space_group_name_Hall 'P 1'
_cell_length_a 5.9480
_cell_length_b 5.9480
_cell_length_c 9.7092
_cell_angle_alpha 107.84
_cell_angle_beta 107.84
_cell_angle_gamma 90.00
loop_
_atom_site_label
_atom_site_fract_x
_atom_site_fract_y
_atom_site_fract_z
Ba1 0.1777 0.1777 0.3554
Rh1 0.0000 0.0000 0.0000
In1 0.6187 0.6187 0.2375
Ba2 0.0000 0.5000 0.0000
Ba3 0.8223 0.8223 0.6446
Ba4 0.5000 0.0000 0.0000
In2 0.3813 0.3813 0.7625
```

Density functional theory data (GGA-PBE) for Ba3In2Rh4 after structural relaxation.

Density of states at the Fermi level = 5.3 states/eV/f.u.
Total magnetic moment = 0.000 μB/atom
Calculated formation energy = -0.3266 eV per atom

The structure in CIF format:
```
data_Ba3In2Rh4
_chemical_formula_sum 'Ba3 In2 Rh4'
_symmetry_space_group_name_H-M 'P 1'
_symmetry_Int_Tables_number 1
_symmetry_space_group_name_Hall 'P 1'
_cell_length_a 4.5253
_cell_length_b 6.2779
_cell_length_c 9.2275
_cell_angle_alpha 99.50
_cell_angle_beta 90.00
_cell_angle_gamma 111.13
loop_
_atom_site_label
_atom_site_fract_x
_atom_site_fract_y
_atom_site_fract_z
Ba1 0.0000 0.0000 0.0000
Rh1 0.7481 0.4963 0.0796
Ba2 0.3714 0.7427 0.6238
Rh2 0.9223 0.8445 0.3712
Rh3 0.0777 0.1555 0.6288
Ba3 0.6286 0.2573 0.3762
Rh4 0.2519 0.5037 0.9204
In1 0.3299 0.6598 0.2222
In2 0.6701 0.3402 0.7778
```

Density functional theory data (GGA-PBE) for Ba2InRh after structural relaxation.

Density of states at the Fermi level = 3.4 states/eV/f.u.
Total magnetic moment = 0.000 μB/atom
Calculated formation energy = -0.0536 eV per atom

The structure in CIF format:
```
data_Ba2InRh
_chemical_formula_sum 'Ba2 In1 Rh1'
_symmetry_space_group_name_H-M 'P 1'
_symmetry_Int_Tables_number 1
_symmetry_space_group_name_Hall 'P 1'
_cell_length_a 6.1029
_cell_length_b 6.1029
_cell_length_c 6.1029
_cell_angle_alpha 135.26
_cell_angle_beta 123.84
_cell_angle_gamma 74.50
loop_
_atom_site_label
_atom_site_fract_x
_atom_site_fract_y
_atom_site_fract_z
Rh1 0.5000 0.0000 0.5000
Ba1 0.2884 0.2884 0.0000
Ba2 0.7116 0.7116 0.0000
In1 0.0000 0.5000 0.5000
```

Density functional theory data (GGA-PBE) for Ba2InRh after structural relaxation.

Density of states at the Fermi level = 4.9 states/eV/f.u.
Total magnetic moment = 0.000 μB/atom
Calculated formation energy = -0.1562 eV per atom

The structure in CIF format:
```
data_Ba2InRh
_chemical_formula_sum 'Ba2 In1 Rh1'
_symmetry_space_group_name_H-M 'P 1'
_symmetry_Int_Tables_number 1
_symmetry_space_group_name_Hall 'P 1'
_cell_length_a 3.7819
_cell_length_b 3.7819
_cell_length_c 9.5934
_cell_angle_alpha 90.00
_cell_angle_beta 90.00
_cell_angle_gamma 90.00
loop_
_atom_site_label
_atom_site_fract_x
_atom_site_fract_y
_atom_site_fract_z
Ba1 0.0000 0.0000 0.9139
Ba2 0.5000 0.5000 0.3329
Rh1 0.5000 0.5000 0.6789
In1 0.0000 0.0000 0.5742
```

Density functional theory data (GGA-PBE) for Ba2InRh after structural relaxation.

Density of states at the Fermi level = 3.4 states/eV/f.u.
Total magnetic moment = 0.000 μB/atom
Calculated formation energy = -0.1402 eV per atom

The structure in CIF format:
```
data_Ba2InRh
_chemical_formula_sum 'Ba2 In1 Rh1'
_symmetry_space_group_name_H-M 'P 1'
_symmetry_Int_Tables_number 1
_symmetry_space_group_name_Hall 'P 1'
_cell_length_a 3.9664
_cell_length_b 3.9664
_cell_length_c 8.3319
_cell_angle_alpha 90.00
_cell_angle_beta 90.00
_cell_angle_gamma 90.00
loop_
_atom_site_label
_atom_site_fract_x
_atom_site_fract_y
_atom_site_fract_z
Rh1 0.5000 0.5000 0.0000
Ba1 0.0000 0.0000 0.2128
Ba2 0.0000 0.0000 0.7872
In1 0.5000 0.5000 0.5000
```

Density functional theory data (GGA-PBE) for BaIn3Rh after structural relaxation.

Density of states at the Fermi level = 3.6 states/eV/f.u.
Total magnetic moment = 0.000 μB/atom
Calculated formation energy = -0.4257 eV per atom

The structure in CIF format:
```
data_BaIn3Rh
_chemical_formula_sum 'Ba4 In12 Rh4'
_symmetry_space_group_name_H-M 'P 1'
_symmetry_Int_Tables_number 1
_symmetry_space_group_name_Hall 'P 1'
_cell_length_a 4.6459
_cell_length_b 9.2921
_cell_length_c 12.2543
_cell_angle_alpha 90.00
_cell_angle_beta 90.00
_cell_angle_gamma 90.00
loop_
_atom_site_label
_atom_site_fract_x
_atom_site_fract_y
_atom_site_fract_z
In1 0.7500 0.1407 0.7785
Ba1 0.2500 0.1829 0.9974
In2 0.7500 0.6208 0.2763
In3 0.2500 0.5553 0.0802
Ba2 0.7500 0.3171 0.4974
In4 0.7500 0.4447 0.9198
In5 0.2500 0.3593 0.2785
In6 0.2500 0.0553 0.4198
Rh1 0.2500 0.1072 0.6439
In7 0.7500 0.6407 0.7215
In8 0.2500 0.3792 0.7237
Rh2 0.2500 0.6072 0.8561
In9 0.7500 0.1208 0.2237
Rh3 0.7500 0.3928 0.1439
In10 0.2500 0.8593 0.2215
In11 0.2500 0.8792 0.7763
Ba3 0.7500 0.8171 0.0026
In12 0.7500 0.9447 0.5802
Ba4 0.2500 0.6829 0.5026
Rh4 0.7500 0.8928 0.3561
```

Density functional theory data (GGA-PBE) for Ba12In3Rh5 after structural relaxation.

Density of states at the Fermi level = 20.8 states/eV/f.u.
Total magnetic moment = 0.172 μB/atom
Calculated formation energy = -0.0545 eV per atom

The structure in CIF format:
```
data_Ba12In3Rh5
_chemical_formula_sum 'Ba48 In12 Rh20'
_symmetry_space_group_name_H-M 'P 1'
_symmetry_Int_Tables_number 1
_symmetry_space_group_name_Hall 'P 1'
_cell_length_a 16.6282
_cell_length_b 16.6282
_cell_length_c 16.6282
_cell_angle_alpha 109.47
_cell_angle_beta 109.47
_cell_angle_gamma 109.47
loop_
_atom_site_label
_atom_site_fract_x
_atom_site_fract_y
_atom_site_fract_z
Ba1 0.1796 0.0869 0.7048
Ba2 0.8820 0.2952 0.4747
Ba3 0.8820 0.5869 0.9073
Ba4 0.9073 0.8204 0.5253
Rh1 0.5000 0.5000 0.0000
Ba5 0.9131 0.0927 0.6180
Ba6 0.5927 0.6180 0.4131
Ba7 0.2952 0.4131 0.8204
Ba8 0.0927 0.1796 0.4747
In1 0.3750 0.7500 0.6250
Ba9 0.4073 0.0253 0.3204
Ba10 0.6180 0.5927 0.9131
Rh2 0.0000 0.0000 0.0000
Ba11 0.3820 0.9747 0.7952
Ba12 0.3204 0.7952 0.4131
Rh3 0.0000 0.0000 0.5000
Ba13 0.5927 0.9747 0.6796
In2 0.2500 0.1250 0.3750
Ba14 0.6796 0.2048 0.5869
Ba15 0.2048 0.5253 0.6180
Rh4 0.3750 0.2500 0.1250
Ba16 0.4747 0.7952 0.8820
Ba17 0.2048 0.6796 0.0869
Ba18 0.3820 0.4073 0.0869
Ba19 0.4131 0.2952 0.3204
In3 0.7500 0.3750 0.1250
Ba20 0.5869 0.7048 0.6796
In4 0.1250 0.8750 0.7500
Ba21 0.6180 0.0253 0.2048
In5 0.7500 0.8750 0.6250
Ba22 0.3204 0.5253 0.4073
Ba23 0.7952 0.3204 0.9131
In6 0.1250 0.2500 0.8750
Rh5 0.5000 0.0000 0.0000
Ba24 0.7048 0.5869 0.1796
In7 0.8750 0.7500 0.1250
Ba25 0.2952 0.8820 0.9747
Rh6 0.1250 0.7500 0.3750
Rh7 0.0000 0.5000 0.5000
Ba26 0.8204 0.9073 0.0253
Ba27 0.0253 0.6180 0.7048
Rh8 0.6250 0.7500 0.8750
In8 0.2500 0.6250 0.8750
Ba28 0.5869 0.8820 0.4073
Ba29 0.4073 0.3820 0.5869
Rh9 0.0000 0.5000 0.0000
In9 0.6250 0.3750 0.7500
Rh10 0.2500 0.3750 0.6250
Rh11 0.7500 0.1250 0.8750
Ba30 0.5253 0.3204 0.9073
Rh12 0.8750 0.2500 0.6250
Ba31 0.0927 0.9131 0.1180
Ba32 0.1180 0.4131 0.0927
Ba33 0.1180 0.7048 0.5253
Ba34 0.7952 0.4747 0.3820
In10 0.8750 0.1250 0.2500
Ba35 0.6796 0.4747 0.5927
Ba36 0.9747 0.5927 0.1796
Rh13 0.8750 0.6250 0.7500
Rh14 0.6250 0.8750 0.2500
Rh15 0.2500 0.8750 0.1250
Ba37 0.9747 0.3820 0.2952
Rh16 0.7500 0.6250 0.3750
Ba38 0.1796 0.0927 0.9747
Ba39 0.0253 0.4073 0.8204
Ba40 0.9073 0.0869 0.8820
In11 0.3750 0.6250 0.2500
Ba41 0.4747 0.6796 0.0927
Ba42 0.4131 0.1180 0.5927
Ba43 0.8204 0.9131 0.2952
Rh17 0.5000 0.0000 0.5000
Rh18 0.1250 0.3750 0.2500
Rh19 0.5000 0.5000 0.5000
Ba44 0.0869 0.1796 0.2048
Ba45 0.5253 0.2048 0.1180
Rh20 0.3750 0.1250 0.7500
In12 0.6250 0.2500 0.3750
Ba46 0.9131 0.8204 0.7952
Ba47 0.7048 0.1180 0.0253
Ba48 0.0869 0.9073 0.3820
```

Density functional theory data (GGA-PBE) for Ba2InSb3Rh4 after structural relaxation.

Density of states at the Fermi level = 9.0 states/eV/f.u.
Total magnetic moment = 0.000 μB/atom
Formation energy from raw total energies = -0.648 eV/atom

The structure in CIF format:
```
data_Ba2InSb3Rh4
_chemical_formula_sum 'Ba2 In1 Sb3 Rh4'
_symmetry_space_group_name_H-M 'P 1'
_symmetry_Int_Tables_number 1
_symmetry_space_group_name_Hall 'P 1'
_cell_length_a 4.6937
_cell_length_b 4.6937
_cell_length_c 10.7274
_cell_angle_alpha 90.00
_cell_angle_beta 90.00
_cell_angle_gamma 90.00
loop_
_atom_site_label
_atom_site_fract_x
_atom_site_fract_y
_atom_site_fract_z
Rh1 0.5000 0.5000 0.0000
Rh2 0.0000 0.5000 0.3724
Rh3 0.5000 0.0000 0.6276
Sb1 0.0000 0.0000 0.5000
Rh4 0.0000 0.0000 0.0000
Ba1 0.0000 0.5000 0.7529
Ba2 0.5000 0.0000 0.2471
Sb2 0.0000 0.5000 0.1227
In1 0.5000 0.5000 0.5000
Sb3 0.5000 0.0000 0.8773
```